1.
GaSnGe2H | PBE-GGA | relaxed

Geometry as extended XYZ:
```
5
Lattice="5.331 0.000 0.000 0.000 5.331 0.000 0.000 0.000 3.293" Properties=species:S:1:pos:R:3 pbc="T T T"
Ga 0.000 0.000 0.000
Sn 2.666 2.666 1.647
Ge 0.000 2.666 0.000
Ge 2.666 0.000 0.000
H 0.000 0.000 1.647
```

=====

2.
8
Lattice="2.323 1.341 7.532 -2.323 1.341 7.532 0.000 -2.682 7.532" Properties=species:S:1:pos:R:3 comment="TbAlCu2Au4 PBE-GGA relaxed" delta_e_f_mev_per_atom=-379 pbc="T T T"
Tb 0.000 0.000 0.000
Al 0.000 0.000 11.299
Cu 0.000 0.000 5.808
Cu 0.000 0.000 16.789
Au 0.000 0.000 3.037
Au 0.000 0.000 8.759
Au 0.000 0.000 13.838
Au 0.000 0.000 19.560

=====

3.
4
Lattice="2.052 1.185 9.122 -2.052 1.185 9.122 0.000 -2.370 9.122" Properties=species:S:1:pos:R:3 comment="Ca2CdSe PBE-GGA relaxed" de_polymorph_ev_per_atom=0.340 pbc="T T T"
Ca 0.000 0.000 0.000
Ca 0.000 0.000 5.799
Cd 0.000 0.000 20.620
Se 0.000 0.000 13.315

=====

Values for electronic total energy, eV/cell, ordered as above
-18.19 -32.70 -11.08